Entry 1:
A relaxed structure of ZnMoW2, computed with PBEsol.

```
4
Lattice="-1.334 4.195 -0.083 -4.071 0.989 -1.355 -3.001 1.413 2.895" Properties=species:S:1:pos:R:3 pbc="T T T"
Mo -4.204 3.299 0.729
Zn -2.102 1.649 0.364
W 0.000 0.000 0.000
W -6.305 4.948 1.093
```

Computed properties:
calculated total energy = -9.905 eV per atom

Entry 2:
A relaxed structure of Zn3Au, computed with PBEsol.

```
8
Lattice="4.390 0.000 0.000 0.000 5.427 0.000 0.000 2.714 4.927" Properties=species:S:1:pos:R:3 pbc="T T T"
Zn 1.097 5.427 0.770
Zn 1.097 6.810 3.328
Zn 3.292 2.714 4.156
Zn 1.097 4.044 3.328
Au 3.292 5.427 3.957
Au 1.097 2.714 0.969
Zn 3.292 1.330 1.598
Zn 3.292 4.097 1.598
```

Computed properties:
calculated total energy = -2.317 eV per atom

Entry 3:
A relaxed structure of K2MoRh, computed with PBEsol.

```
4
Lattice="3.755 0.000 0.000 0.000 3.755 0.000 -1.878 -1.878 5.755" Properties=species:S:1:pos:R:3 pbc="T T T"
K 1.878 0.000 2.878
K 0.000 1.878 2.878
Rh 0.000 0.000 0.000
Mo 1.878 1.878 0.000
```

Computed properties:
calculated total energy = -4.329 eV per atom

Entry 4:
A relaxed structure of BaLiTl2, computed with PBEsol.

```
4
Lattice="3.684 0.000 0.000 0.000 3.684 0.000 0.000 0.000 8.141" Properties=species:S:1:pos:R:3 pbc="T T T"
Tl 0.000 0.000 6.573
Li 1.842 1.842 0.000
Ba 1.842 1.842 4.071
Tl 0.000 0.000 1.568
```

Computed properties:
calculated total energy = -2.682 eV per atom

| no. | energy relative to the elements (eV/f.u.) |
| --- | --- |
| 1 | 1.35 |
| 2 | -0.60 |
| 3 | 4.86 |
| 4 | -1.35 |